# 1
DFT (PBE-GGA) results for a relaxed structure of KCd6Au3.

```
data_KCd6Au3
_chemical_formula_sum 'K2 Cd12 Au6'
_cell_length_a 8.7493
_cell_length_b 4.5965
_cell_length_c 12.0196
_cell_angle_alpha 90.00
_cell_angle_beta 99.41
_cell_angle_gamma 90.00
_symmetry_space_group_name_H-M 'P 1 21/m 1'
_symmetry_Int_Tables_number 11
loop_
_symmetry_equiv_pos_as_xyz
'x,y,z'
'-x,-y,-z'
'-x,y+1/2,-z'
'x,-y+1/2,z'
loop_
_atom_site_label
_atom_site_type_symbol
_atom_site_fract_x
_atom_site_fract_y
_atom_site_fract_z
K1 K 0.0584 0.2500 0.2400
Cd1 Cd 0.1107 0.2500 0.5716
Cd2 Cd 0.2669 0.7500 0.0189
Cd3 Cd 0.3184 0.7500 0.6892
Cd4 Cd 0.3297 0.2500 0.8560
Cd5 Cd 0.3954 0.7500 0.2714
Cd6 Cd 0.4085 0.2500 0.4453
Au1 Au 0.0767 0.2500 0.9713
Au2 Au 0.2184 0.7500 0.4529
Au3 Au 0.4429 0.2500 0.1188
```

Properties
**DFT total energy**: -36.2 eV per cell
**Crystal system**: monoclinic
**Energy of formation**: -0.166 eV per atom

***

# 2
DFT (PBE-GGA) results for a relaxed structure of KCdAu2.

```
data_KCdAu2
_chemical_formula_sum 'K3 Cd3 Au6'
_cell_length_a 4.8792
_cell_length_b 4.8792
_cell_length_c 17.3636
_cell_angle_alpha 90.00
_cell_angle_beta 90.00
_cell_angle_gamma 120.00
_symmetry_space_group_name_H-M 'R -3 m'
_symmetry_Int_Tables_number 166
_symmetry_space_group_name_Hall '-R 3 2"'
loop_
_atom_site_label
_atom_site_type_symbol
_atom_site_fract_x
_atom_site_fract_y
_atom_site_fract_z
K1 K 0.0000 0.0000 0.0000
Cd1 Cd 0.0000 0.0000 0.5000
Au1 Au 0.0000 0.0000 0.1855
```

Properties
**DFT total energy**: -28.9 eV per cell
**Crystal system**: trigonal
**Energy of formation**: -0.268 eV per atom

***

# 3
DFT (PBE-GGA) results for a relaxed structure of KCd4Au.

```
data_KCd4Au
_chemical_formula_sum 'K4 Cd16 Au4'
_cell_length_a 16.4001
_cell_length_b 7.6310
_cell_length_c 5.5857
_cell_angle_alpha 90.00
_cell_angle_beta 101.24
_cell_angle_gamma 90.00
_symmetry_space_group_name_H-M 'C 1 2/m 1'
_symmetry_Int_Tables_number 12
loop_
_symmetry_equiv_pos_as_xyz
'x,y,z'
'-x,-y,-z'
'-x,y,-z'
'x,-y,z'
'x+1/2,y+1/2,z'
'-x+1/2,-y+1/2,-z'
'-x+1/2,y+1/2,-z'
'x+1/2,-y+1/2,z'
loop_
_atom_site_label
_atom_site_type_symbol
_atom_site_fract_x
_atom_site_fract_y
_atom_site_fract_z
K1 K 0.2163 0.0000 0.1380
Cd1 Cd 0.0000 0.1971 0.0000
Cd2 Cd 0.0984 0.1818 0.5607
Cd3 Cd 0.1180 0.5000 0.2848
Au1 Au 0.0776 0.5000 0.7811
```

Properties
**DFT total energy**: -34.4 eV per cell
**Crystal system**: monoclinic
**Energy relative to the lowest polymorph listed for this composition**: 3.4 kJ/mol of atoms
**Energy of formation**: -0.095 eV per atom

***

# 4
DFT (PBE-GGA) results for a relaxed structure of K2Cd9Au4.

```
data_K2Cd9Au4
_chemical_formula_sum 'K2 Cd9 Au4'
_cell_length_a 4.8000
_cell_length_b 4.8000
_cell_length_c 19.6746
_cell_angle_alpha 90.00
_cell_angle_beta 90.00
_cell_angle_gamma 120.00
_symmetry_space_group_name_H-M 'P -3 m 1'
_symmetry_Int_Tables_number 164
_symmetry_space_group_name_Hall '-P 3 2"'
loop_
_atom_site_label
_atom_site_type_symbol
_atom_site_fract_x
_atom_site_fract_y
_atom_site_fract_z
K1 K 0.3333 0.6667 0.2668
Cd1 Cd 0.0000 0.0000 0.0000
Cd2 Cd 0.0000 0.0000 0.1533
Cd3 Cd 0.0000 0.0000 0.3889
Cd4 Cd 0.3333 0.6667 0.0688
Cd5 Cd 0.3333 0.6667 0.4523
Au1 Au 0.3333 0.6667 0.5981
Au2 Au 0.3333 0.6667 0.8801
```

Properties
**DFT total energy**: -25.8 eV per cell
**Crystal system**: trigonal
**Energy of formation**: -0.153 eV per atom

***

# 5
DFT (PBE-GGA) results for a relaxed structure of KCd4Au4.

```
data_KCd4Au4
_chemical_formula_sum 'K2 Cd8 Au8'
_cell_length_a 9.4844
_cell_length_b 9.4844
_cell_length_c 5.4079
_cell_angle_alpha 90.00
_cell_angle_beta 90.00
_cell_angle_gamma 90.00
_symmetry_space_group_name_H-M 'P 42/n'
_symmetry_Int_Tables_number 86
loop_
_symmetry_equiv_pos_as_xyz
'x,y,z'
'-x,-y,-z'
'-y,x+1/2,z+1/2'
'y,-x+1/2,-z+1/2'
'-x+1/2,-y+1/2,z'
'x+1/2,y+1/2,-z'
'y+1/2,-x,z+1/2'
'-y+1/2,x,-z+1/2'
loop_
_atom_site_label
_atom_site_type_symbol
_atom_site_fract_x
_atom_site_fract_y
_atom_site_fract_z
K1 K 0.2500 0.2500 0.2500
Cd1 Cd 0.1299 0.6311 0.1752
Au1 Au 0.0696 0.9248 0.1823
```

Properties
**DFT total energy**: -39.1 eV per cell
**Crystal system**: tetragonal
**Energy relative to the lowest polymorph listed for this composition**: 2.5 kJ/mol of atoms
**Energy of formation**: -0.186 eV per atom

***

# 6
DFT (PBE-GGA) results for a relaxed structure of KCd3Au.

```
data_KCd3Au
_chemical_formula_sum 'K1 Cd3 Au1'
_cell_length_a 5.3851
_cell_length_b 5.3851
_cell_length_c 5.3851
_cell_angle_alpha 90.00
_cell_angle_beta 90.00
_cell_angle_gamma 90.00
_symmetry_space_group_name_H-M 'P m -3 m'
_symmetry_Int_Tables_number 221
_symmetry_space_group_name_Hall '-P 4 2 3'
loop_
_atom_site_label
_atom_site_type_symbol
_atom_site_fract_x
_atom_site_fract_y
_atom_site_fract_z
K1 K 0.0000 0.0000 0.0000
Cd1 Cd 0.0000 0.5000 0.5000
Au1 Au 0.5000 0.5000 0.5000
```

Properties
**DFT total energy**: -7.7 eV per cell
**Crystal system**: cubic
**Energy relative to the lowest polymorph listed for this composition**: 5.3 kJ/mol of atoms
**Energy of formation**: -0.120 eV per atom

***

# 7
DFT (PBE-GGA) results for a relaxed structure of K3Cd4Au3.

```
data_K3Cd4Au3
_chemical_formula_sum 'K12 Cd16 Au12'
_cell_length_a 10.7332
_cell_length_b 10.7332
_cell_length_c 10.7332
_cell_angle_alpha 90.00
_cell_angle_beta 90.00
_cell_angle_gamma 90.00
_symmetry_space_group_name_H-M 'I -4 3 d'
_symmetry_Int_Tables_number 220
_symmetry_space_group_name_Hall 'I -4bd 2c 3'
loop_
_atom_site_label
_atom_site_type_symbol
_atom_site_fract_x
_atom_site_fract_y
_atom_site_fract_z
K1 K 0.0000 0.2500 0.3750
Cd1 Cd 0.0693 0.0693 0.0693
Au1 Au 0.0000 0.2500 0.8750
```

Properties
**DFT total energy**: -74.4 eV per cell
**Crystal system**: cubic
**Energy of formation**: -0.182 eV per atom

***

# 8
DFT (PBE-GGA) results for a relaxed structure of K2Cd5Au2.

```
data_K2Cd5Au2
_chemical_formula_sum 'K2 Cd5 Au2'
_cell_length_a 5.3684
_cell_length_b 5.3684
_cell_length_c 10.5030
_cell_angle_alpha 90.00
_cell_angle_beta 90.00
_cell_angle_gamma 90.00
_symmetry_space_group_name_H-M 'P 4/m m m'
_symmetry_Int_Tables_number 123
_symmetry_space_group_name_Hall '-P 4 2'
loop_
_atom_site_label
_atom_site_type_symbol
_atom_site_fract_x
_atom_site_fract_y
_atom_site_fract_z
K1 K 0.0000 0.0000 0.0000
K2 K 0.0000 0.0000 0.5000
Cd1 Cd 0.0000 0.5000 0.2441
Cd2 Cd 0.5000 0.5000 0.5000
Au1 Au 0.5000 0.5000 0.2376
```

Properties
**DFT total energy**: -14.0 eV per cell
**Crystal system**: tetragonal
**Energy of formation**: -0.078 eV per atom

***

# 9
DFT (PBE-GGA) results for a relaxed structure of K4Cd4Au.

```
data_K4Cd4Au
_chemical_formula_sum 'K8 Cd8 Au2'
_cell_length_a 9.8168
_cell_length_b 9.8168
_cell_length_c 6.7770
_cell_angle_alpha 90.00
_cell_angle_beta 90.00
_cell_angle_gamma 90.00
_symmetry_space_group_name_H-M 'P 42/n'
_symmetry_Int_Tables_number 86
loop_
_symmetry_equiv_pos_as_xyz
'x,y,z'
'-x,-y,-z'
'-y,x+1/2,z+1/2'
'y,-x+1/2,-z+1/2'
'-x+1/2,-y+1/2,z'
'x+1/2,y+1/2,-z'
'y+1/2,-x,z+1/2'
'-y+1/2,x,-z+1/2'
loop_
_atom_site_label
_atom_site_type_symbol
_atom_site_fract_x
_atom_site_fract_y
_atom_site_fract_z
K1 K 0.0583 0.6757 0.1120
Cd1 Cd 0.0874 0.3217 0.4014
Au1 Au 0.2500 0.2500 0.7500
```

Properties
**DFT total energy**: -24.5 eV per cell
**Crystal system**: tetragonal
**Energy of formation**: -0.104 eV per atom

***

# 10
DFT (PBE-GGA) results for a relaxed structure of KCdAu3.

```
data_KCdAu3
_chemical_formula_sum 'K4 Cd4 Au12'
_cell_length_a 5.6000
_cell_length_b 10.0560
_cell_length_c 9.7066
_cell_angle_alpha 90.00
_cell_angle_beta 90.00
_cell_angle_gamma 90.00
_symmetry_space_group_name_H-M 'I m m a'
_symmetry_Int_Tables_number 74
_symmetry_space_group_name_Hall '-I 2b 2'
loop_
_atom_site_label
_atom_site_type_symbol
_atom_site_fract_x
_atom_site_fract_y
_atom_site_fract_z
K1 K 0.0000 0.2500 0.0713
Cd1 Cd 0.0000 0.0000 0.5000
Au1 Au 0.0000 0.2500 0.6285
Au2 Au 0.2500 0.0342 0.7500
```

Properties
**DFT total energy**: -51.7 eV per cell
**Crystal system**: orthorhombic
**Energy relative to the lowest polymorph listed for this composition**: 0.0 kJ/mol of atoms
**Energy of formation**: -0.218 eV per atom

***

What is the formula in the eighth record? K2Cd5Au2